Entry 1:
# CrReRh, relaxed, DFT GGA-PBE
# VASP energy in eV/atom: -9.71
# Energy of formation from the pure elements in eV per atom: 0.094
data_CrReRh
_chemical_formula_sum 'Cr1 Re1 Rh1'
_space_group_name_H-M_alt 'P 3 m 1'
_space_group_IT_number 156
_space_group_name_Hall 'P 3 -2"'
_cell_length_a 2.6950
_cell_length_b 2.6950
_cell_length_c 6.5928
_cell_angle_alpha 90.00
_cell_angle_beta 90.00
_cell_angle_gamma 120.00
loop_
_atom_site_label
_atom_site_fract_x
_atom_site_fract_y
_atom_site_fract_z
Cr1 0.0000 0.0000 0.0000
Re1 0.6667 0.3333 0.3278
Rh1 0.3333 0.6667 0.6828

Entry 2:
# CrRe2Rh, relaxed, DFT GGA-PBE
# VASP energy in eV/atom: -10.45
# Energy of formation from the pure elements in eV per atom: 0.017
data_CrRe2Rh
_chemical_formula_sum 'Cr1 Re2 Rh1'
_space_group_name_H-M_alt 'P 4/m m m'
_space_group_IT_number 123
_space_group_name_Hall '-P 4 2'
_cell_length_a 3.808
_cell_length_b 3.808
_cell_length_c 3.864
_cell_angle_alpha 90.00
_cell_angle_beta 90.00
_cell_angle_gamma 90.00
loop_
_atom_site_label
_atom_site_fract_x
_atom_site_fract_y
_atom_site_fract_z
Cr1 0.000 0.000 0.000
Re1 0.000 0.500 0.500
Rh1 0.500 0.500 0.000

Entry 3:
# Cr4ReRh, relaxed, DFT GGA-PBE
# VASP energy in eV/atom: -9.73
# Energy of formation from the pure elements in eV per atom: -0.017
data_Cr4ReRh
_chemical_formula_sum 'Cr16 Re4 Rh4'
_space_group_name_H-M_alt 'F -4 3 m'
_space_group_IT_number 216
_space_group_name_Hall 'F -4 2 3'
_cell_length_a 6.700
_cell_length_b 6.700
_cell_length_c 6.700
_cell_angle_alpha 90.00
_cell_angle_beta 90.00
_cell_angle_gamma 90.00
loop_
_atom_site_label
_atom_site_fract_x
_atom_site_fract_y
_atom_site_fract_z
Cr1 0.124 0.124 0.124
Re1 0.250 0.250 0.750
Rh1 0.000 0.000 0.500

Entry 4:
# CrRe2Rh, relaxed, DFT GGA-PBE
# VASP energy in eV/atom: -9.81
# Energy of formation from the pure elements in eV per atom: 0.655
data_CrRe2Rh
_chemical_formula_sum 'Cr4 Re8 Rh4'
_space_group_name_H-M_alt 'I -4 2 d'
_space_group_IT_number 122
_space_group_name_Hall 'I -4 2bw'
_cell_length_a 3.704
_cell_length_b 3.704
_cell_length_c 18.400
_cell_angle_alpha 90.00
_cell_angle_beta 90.00
_cell_angle_gamma 90.00
loop_
_atom_site_label
_atom_site_fract_x
_atom_site_fract_y
_atom_site_fract_z
Cr1 0.000 0.000 0.000
Re1 0.221 0.250 0.125
Rh1 0.000 0.000 0.500

Entry 5:
# CrRe2Rh, relaxed, DFT GGA-PBE
# VASP energy in eV/atom: -10.39
# Energy of formation from the pure elements in eV per atom: 0.078
data_CrRe2Rh
_chemical_formula_sum 'Cr1 Re2 Rh1'
_space_group_name_H-M_alt 'P 1 m 1'
_space_group_IT_number 6
_space_group_name_Hall 'P -2y'
_cell_length_a 2.696
_cell_length_b 4.187
_cell_length_c 5.175
_cell_angle_alpha 90.00
_cell_angle_beta 104.37
_cell_angle_gamma 90.00
loop_
_atom_site_label
_atom_site_fract_x
_atom_site_fract_y
_atom_site_fract_z
Cr1 0.000 0.000 0.000
Re1 0.069 0.500 0.256
Re2 0.685 0.000 0.487
Rh1 0.360 0.500 0.788

Entry 6:
# CrRe2Rh6, relaxed, DFT GGA-PBE
# VASP energy in eV/atom: -8.82
# Energy of formation from the pure elements in eV per atom: -0.081
data_CrRe2Rh6
_chemical_formula_sum 'Cr2 Re4 Rh12'
_space_group_name_H-M_alt 'C 1 2/m 1'
_space_group_IT_number 12
_space_group_name_Hall '-C 2y'
_cell_length_a 8.557
_cell_length_b 3.834
_cell_length_c 8.136
_cell_angle_alpha 90.00
_cell_angle_beta 108.44
_cell_angle_gamma 90.00
loop_
_atom_site_label
_atom_site_fract_x
_atom_site_fract_y
_atom_site_fract_z
Cr1 0.000 0.000 0.000
Re1 0.167 0.500 0.224
Rh1 0.001 0.000 0.681
Rh2 0.165 0.500 0.897
Rh3 0.170 0.500 0.556